Compound: Mo2RhF2
Source: Alexandria
Functional: GGA+U
Structure: relaxed

Calculated values
- space group = P4/mbm, No. 127
- uncorrected energy (eV/atom) = -4.99
- crystal system = tetragonal

a b c (Å): 7.414 7.414 2.876
angles (deg): 90.00 90.00 90.00
Fractional positions:
Mo 0.214 0.286 0.000
Mo 0.286 0.786 0.000
Mo 0.714 0.214 0.000
Mo 0.786 0.714 0.000
Rh 0.000 0.000 0.000
Rh 0.500 0.500 0.000
F 0.119 0.619 0.500
F 0.381 0.119 0.500
F 0.619 0.881 0.500
F 0.881 0.381 0.500